BaFeNi4, optimized geometry, DFT GGA-PBE; electronic total energy = -5.1897 eV/atom; energy of formation from the pure elements = 395.5 meV/atom; total moment = 5.4 μB per cell; space-group type = No. 216; density = 7670 kg/m³
1.0
0.000 3.591 3.591
3.591 0.000 3.591
3.591 3.591 0.000
Ba Fe Ni
1 1 4
Direct
0.000 0.000 0.000
0.750 0.750 0.750
0.377 0.377 0.377
0.377 0.377 0.869
0.377 0.869 0.377
0.869 0.377 0.377